Tb3Cu2Ag3 GGA-PBE relaxed; symmetry = No. 189; density = 8.9 g cm⁻³; VASP energy = -0.30090 Ry per atom
1.0
7.308 0.000 0.000
-3.654 6.329 0.000
0.000 0.000 3.744
Tb Cu Ag
3 2 3
Cartesian
-1.460 2.528 0.000
2.919 0.000 0.000
2.194 3.801 0.000
0.000 4.219 1.872
3.654 2.110 1.872
-2.781 4.816 1.872
0.873 1.512 1.872
5.562 0.000 1.872